DFT (PBE-GGA) results for BC2 after structural relaxation.

Values from the calculation:
Distance to the lowest polymorph of the same formula, eV per atom: 0.056
ΔH_f (0 K), eV/atom: 0.2957

Geometry as POSCAR:
```
BC2
1.0
-2.4672 -0.3083 -0.2390
-0.1701 -0.5265 2.4358
-1.7170 11.8485 2.4413
C B
8 4
Direct
0.0000 0.5000 0.0790 C
0.5000 0.5000 0.8606 C
0.5000 0.0000 0.2543 C
0.5000 0.5000 0.4727 C
0.0000 0.0000 0.0096 C
0.0000 0.0000 0.3238 C
0.0000 0.5000 0.4025 C
0.5000 0.0000 0.9308 C
0.0000 0.5000 0.7758 B
0.0000 0.0000 0.6667 B
0.5000 0.0000 0.5575 B
0.5000 0.5000 0.1667 B
```


DFT (PBE-GGA) results for Lu2ThMg after structural relaxation.

Values from the calculation:
Distance to the lowest polymorph of the same formula, eV per atom: 0.214
ΔH_f (0 K), eV/atom: 0.1873

Geometry as POSCAR:
```
Lu2ThMg
1.0
5.4811 0.0000 0.0000
2.7406 4.7468 0.0000
2.7406 1.5823 4.4753
Mg Lu Th
1 2 1
Direct
0.5000 0.5000 0.5000 Mg
0.7500 0.7500 0.7500 Lu
0.2500 0.2500 0.2500 Lu
0.0000 0.0000 0.0000 Th
```


DFT (PBE-GGA) results for Li12Zn6Cd after structural relaxation.

Values from the calculation:
Distance to the lowest polymorph of the same formula, eV per atom: 0.000
ΔH_f (0 K), eV/atom: -0.1474

Geometry as POSCAR:
```
Li12Zn6Cd
1.0
6.5152 0.0000 2.0886
-3.2636 6.1950 2.7097
-0.0120 0.0000 7.5081
Li Zn Cd
12 6 1
Direct
0.6774 0.8886 0.8389 Li
0.1165 0.3763 0.0527 Li
0.3226 0.1114 0.1611 Li
0.8308 0.9473 0.4290 Li
0.2112 0.7274 0.1114 Li
0.7402 0.5710 0.3763 Li
0.7888 0.2726 0.8886 Li
0.8835 0.6237 0.9473 Li
0.5162 0.8389 0.2726 Li
0.2598 0.4290 0.6237 Li
0.4838 0.1611 0.7274 Li
0.1692 0.0527 0.5710 Li
0.9669 0.3243 0.4626 Zn
0.0331 0.6757 0.5374 Zn
0.6426 0.2131 0.3243 Zn
0.4295 0.4626 0.2131 Zn
0.3574 0.7869 0.6757 Zn
0.5705 0.5374 0.7869 Zn
0.0000 0.0000 0.0000 Cd
```


DFT (PBE-GGA) results for HfPCl3 after structural relaxation.

Values from the calculation:
Distance to the lowest polymorph of the same formula, eV per atom: 1.050

Geometry as POSCAR:
```
HfPCl3
1.0
4.9225 0.0000 0.0000
0.0000 4.9225 0.0000
0.0000 0.0000 4.9225
Cl Hf P
3 1 1
Direct
0.0000 0.0000 0.5000 Cl
0.0000 0.5000 0.0000 Cl
0.5000 0.0000 0.0000 Cl
0.5000 0.5000 0.5000 Hf
0.0000 0.0000 0.0000 P
```


DFT (PBE-GGA) results for ScMnBr after structural relaxation.

Geometry as POSCAR:
```
ScMnBr
1.0
3.4405 0.0000 0.0000
-1.7202 2.9796 0.0000
0.0000 0.0000 6.5144
Br Sc Mn
1 1 1
Direct
0.0000 0.0000 0.9685 Br
0.3333 0.6667 0.6702 Sc
0.6667 0.3333 0.3613 Mn
```


DFT (PBE-GGA) results for Cs3K6Au5 after structural relaxation.

Values from the calculation:
ΔH_f (0 K), eV/atom: -0.1917

Geometry as POSCAR:
```
Cs3K6Au5
1.0
5.0256 0.0000 0.0000
0.0000 13.5459 0.0000
0.0000 0.0000 17.7513
K Au Cs
12 10 6
Direct
0.0000 0.5830 0.3234 K
0.5000 0.4170 0.1766 K
0.5000 0.0033 0.3374 K
0.0000 0.9967 0.8374 K
0.0000 0.5830 0.6766 K
0.5000 0.9965 0.0000 K
0.5000 0.0033 0.6626 K
0.5000 0.6232 0.0000 K
0.0000 0.0035 0.5000 K
0.0000 0.9967 0.1626 K
0.5000 0.4170 0.8234 K
0.0000 0.3768 0.5000 K
0.5000 0.4314 0.6301 Au
0.5000 0.4314 0.3699 Au
0.0000 0.5686 0.1301 Au
0.0000 0.8365 0.6552 Au
0.5000 0.1765 0.5000 Au
0.0000 0.8235 0.0000 Au
0.0000 0.8365 0.3448 Au
0.5000 0.1635 0.8448 Au
0.5000 0.1635 0.1552 Au
0.0000 0.5686 0.8699 Au
0.5000 0.7553 0.8106 Cs
0.0000 0.2447 0.3106 Cs
0.0000 0.2447 0.6894 Cs
0.0000 0.2753 0.0000 Cs
0.5000 0.7247 0.5000 Cs
0.5000 0.7553 0.1894 Cs
```


Number 1: E_tot -8.079 eV per atom, Fermi-level density of states 0.5 states/eV/f.u., size of the total moment 0.0 μB/cell. Number 2: E_tot -4.327 eV per atom, Fermi-level density of states 5.5 states/eV/f.u., size of the total moment 1.7 μB/cell. Number 3: E_tot -1.807 eV per atom, Fermi-level density of states 6.4 states/eV/f.u., size of the total moment 0.0 μB/cell. Number 4: E_tot -3.593 eV per atom, Fermi-level density of states 7.6 states/eV/f.u., size of the total moment 2.3 μB/cell. Number 5: E_tot -5.999 eV per atom, Fermi-level density of states 0.9 states/eV/f.u., size of the total moment 3.3 μB/cell. Number 6: E_tot -2.015 eV per atom, Fermi-level density of states 9.8 states/eV/f.u., size of the total moment 0.0 μB/cell.